[1]
KCo2Rh: optimized geometry, PBE.

a = 3.9468 Å, b = 2.7059 Å, c = 7.3002 Å
α = 79.13°, β = 90.00°, γ = 90.00°
Site moments in Bohr magnetons follow the coordinates.
Atoms (fractional coordinates):
Rh  0.5000  0.7586  0.8574  0.61
Co  0.5000  0.1070  0.1560  1.79
Co  0.0000  0.1944  0.9837  1.83
K  0.0000  0.4400  0.5029  -0.01

Results
**Relative energy among the computed polymorphs**: 76 meV per atom
**Crystal system**: monoclinic
**ΔE_f**: 0.64 eV/atom

[2]
KCoRh2: optimized geometry, PBE.

a = 4.2469 Å, b = 2.7457 Å, c = 6.9253 Å
α = 78.39°, β = 90.00°, γ = 90.00°
Site moments in Bohr magnetons follow the coordinates.
Atoms (fractional coordinates):
K  0.5000  0.6888  0.7470  -0.01
Rh  0.5000  0.4449  0.2353  0.38
Rh  0.0000  0.0109  0.1054  0.18
Co  0.0000  0.3553  0.4123  1.81

Results
**Relative energy among the computed polymorphs**: 98 meV per atom
**Crystal system**: monoclinic
**ΔE_f**: 0.57 eV/atom

[3]
KCo2Rh: optimized geometry, PBE.

a = 4.7696 Å, b = 4.7696 Å, c = 8.9438 Å
α = 74.54°, β = 74.54°, γ = 90.00°
Site moments in Bohr magnetons follow the coordinates.
Atoms (fractional coordinates):
Co  0.8747  0.1250  0.2500  2.07
Co  0.3750  0.1253  0.7500  1.73
Co  0.8750  0.1247  0.7500  1.70
Co  0.8753  0.6250  0.2500  2.04
K  0.5000  0.5000  0.0000  -0.01
K  0.2500  0.7500  0.5000  -0.01
Rh  0.7500  0.2500  0.5000  0.85
Rh  0.0000  0.0000  0.0000  0.84

Results
**Relative energy among the computed polymorphs**: 404 meV per atom
**Crystal system**: tetragonal
**ΔE_f**: 0.96 eV/atom

[4]
KCoRh2: optimized geometry, PBE.

a = 4.5328 Å, b = 4.5328 Å, c = 4.5328 Å
α = 60.00°, β = 60.00°, γ = 60.00°
Site moments in Bohr magnetons follow the coordinates.
Atoms (fractional coordinates):
Rh  0.2500  0.2500  0.2500  0.88
Rh  0.7500  0.7500  0.7500  0.88
Co  0.5000  0.5000  0.5000  2.15
K  0.0000  0.0000  0.0000  -0.01

Results
**Relative energy among the computed polymorphs**: 508 meV per atom
**Crystal system**: cubic
**ΔE_f**: 0.98 eV/atom

[5]
KCoRh2: optimized geometry, PBE.

a = 4.1118 Å, b = 4.0806 Å, c = 4.0806 Å
α = 90.00°, β = 90.00°, γ = 90.00°
Site moments in Bohr magnetons follow the coordinates.
Atoms (fractional coordinates):
K  0.5000  0.0000  0.5000  -0.02
Rh  0.0000  0.5000  0.5000  0.82
Rh  0.0000  0.0000  0.0000  0.82
Co  0.5000  0.5000  0.0000  2.11

Results
**Relative energy among the computed polymorphs**: 628 meV per atom
**Crystal system**: tetragonal
**ΔE_f**: 1.10 eV/atom

[6]
KCo2Rh: optimized geometry, PBE.

a = 4.4350 Å, b = 4.4350 Å, c = 6.8029 Å
α = 83.17°, β = 83.17°, γ = 36.38°
Site moments in Bohr magnetons follow the coordinates.
Atoms (fractional coordinates):
K  0.5001  0.5001  0.4998  -0.01
Co  0.0048  0.0048  0.9899  1.94
Co  0.7175  0.7175  0.8659  1.83
Rh  0.2777  0.2777  0.1444  0.78

Results
**Relative energy among the computed polymorphs**: 51 meV per atom
**Crystal system**: monoclinic
**ΔE_f**: 0.61 eV/atom

[7]
KCo2Rh: optimized geometry, PBE.

a = 5.7461 Å, b = 5.7461 Å, c = 5.7461 Å
α = 153.28°, β = 127.20°, γ = 60.15°
Site moments in Bohr magnetons follow the coordinates.
Atoms (fractional coordinates):
K  0.4960  0.4960  0.0000  -0.03
Rh  0.7909  0.2909  0.5000  0.78
Co  0.0078  0.0078  0.0000  1.76
Co  0.2052  0.7052  0.5000  1.87

Results
**Relative energy among the computed polymorphs**: 235 meV per atom
**Crystal system**: orthorhombic
**ΔE_f**: 0.80 eV/atom

[8]
KCoRh2: optimized geometry, PBE.

a = 4.5710 Å, b = 4.5710 Å, c = 6.6531 Å
α = 84.90°, β = 84.90°, γ = 35.23°
Site moments in Bohr magnetons follow the coordinates.
Atoms (fractional coordinates):
Rh  0.0178  0.0178  0.9044  0.39
Rh  0.7516  0.7516  0.7386  0.49
K  0.2510  0.2510  0.2495  0.00
Co  0.4796  0.4796  0.6076  1.79

Results
**Relative energy among the computed polymorphs**: 102 meV per atom
**Crystal system**: monoclinic
**ΔE_f**: 0.58 eV/atom

[9]
K2CoRh2S6: optimized geometry, PBE.

a = 6.1732 Å, b = 6.1732 Å, c = 7.4214 Å
α = 98.46°, β = 98.46°, γ = 120.14°
Site moments in Bohr magnetons follow the coordinates.
Atoms (fractional coordinates):
S  0.7356  0.7356  0.6630  0.02
S  0.9400  0.6224  0.3357  0.02
S  0.6224  0.9400  0.3357  0.02
S  0.3776  0.0600  0.6643  0.02
S  0.0600  0.3776  0.6643  0.02
S  0.2644  0.2644  0.3370  0.02
Co  0.0000  0.0000  0.5000  0.29
Rh  0.3317  0.6683  0.5000  0.07
Rh  0.6683  0.3317  0.5000  0.07
K  0.8299  0.1701  0.0000  0.00
K  0.1701  0.8299  0.0000  0.00

Results
**Crystal system**: monoclinic
**Energy relative to the elements, uncorrected**: -0.6387 eV/atom

[10]
K2Co2RhS4: optimized geometry, PBE.

a = 3.7728 Å, b = 7.2199 Å, c = 7.1170 Å
α = 108.64°, β = 90.00°, γ = 105.15°
Site moments in Bohr magnetons follow the coordinates.
Atoms (fractional coordinates):
S  0.8078  0.6156  0.8477  0.05
S  0.4769  0.9538  0.2015  0.06
S  0.1922  0.3844  0.1523  0.05
S  0.5231  0.0462  0.7985  0.06
K  0.1288  0.2576  0.5465  0.00
K  0.8712  0.7424  0.4535  0.00
Co  0.6894  0.3788  0.9900  1.09
Co  0.3106  0.6212  0.0100  1.09
Rh  0.0000  0.0000  0.0000  -0.03

Results
**Crystal system**: monoclinic
**Energy relative to the elements, uncorrected**: -0.5986 eV/atom

[11]
K3CoRh2S6: optimized geometry, PBE.

a = 6.3442 Å, b = 6.3442 Å, c = 7.1236 Å
α = 98.54°, β = 98.54°, γ = 119.99°
Atoms (fractional coordinates):
S  0.0546  0.3777  0.1637
S  0.2682  0.2682  0.8352
S  0.3777  0.0546  0.1637
S  0.7318  0.7318  0.1648
S  0.9454  0.6223  0.8363
S  0.6223  0.9454  0.8363
Co  0.0000  0.0000  0.0000
K  0.8299  0.1701  0.5000
K  0.1701  0.8299  0.5000
K  0.5000  0.5000  0.5000
Rh  0.3334  0.6666  0.0000
Rh  0.6666  0.3334  0.0000

Results
**Crystal system**: monoclinic
**Energy relative to the elements, uncorrected**: -0.7135 eV/atom

[12]
KCoRhS3: optimized geometry, PBE.

a = 3.6329 Å, b = 8.1241 Å, c = 8.9959 Å
α = 113.76°, β = 90.00°, γ = 90.00°
Site moments in Bohr magnetons follow the coordinates.
Atoms (fractional coordinates):
S  0.7500  0.8737  0.1398  0.07
S  0.2500  0.1263  0.8602  0.07
S  0.2500  0.5210  0.8645  0.01
S  0.7500  0.4790  0.1355  0.01
S  0.2500  0.7937  0.4550  0.06
S  0.7500  0.2063  0.5450  0.06
Rh  0.7500  0.3175  0.8445  0.11
Rh  0.2500  0.6825  0.1555  0.11
Co  0.2500  0.0858  0.6042  1.30
Co  0.7500  0.9142  0.3958  1.30
K  0.7500  0.7675  0.7465  0.00
K  0.2500  0.2325  0.2535  0.00

Results
**Crystal system**: monoclinic
**Energy relative to the elements, uncorrected**: -0.6346 eV/atom

| no. | magnetization (μB per formula unit) |
| --- | --- |
| 1 | 4.124 |
| 2 | 2.364 |
| 3 | 4.539 |
| 4 | 3.809 |
| 5 | 3.727 |
| 6 | 4.516 |
| 7 | 4.269 |
| 8 | 2.685 |
| 9 | 0.608 |
| 10 | 2.625 |
| 11 | 0.000 |
| 12 | 1.649 |